Record 1
{"formula": "Sr2ScPt", "functional": "PBE", "state": "optimized geometry", "lattice_angstrom": [[-3.376, -4.401, 2.722], [2.082, -2.227, 5.374], [-1.022, 5.572, -2.465]], "species": ["Sc", "Sr", "Sr", "Pt"], "fractional_positions": [[0.750, 0.250, 0.500], [0.000, 0.000, 0.000], [0.500, 0.500, 0.000], [0.250, 0.750, 0.500]], "magnetic_moment_mub_per_cell": 0.0, "dft_energy_ev_per_atom": -3.922, "ef_ev_per_atom": 0.012, "sg": "I4/mmm, No. 139"}

Record 2
{"formula": "KZnCdFe2", "functional": "PBE", "state": "optimized geometry", "lattice_angstrom": [[-0.391, 3.560, -3.542], [-5.365, -2.384, -1.804], [-2.420, 2.979, 3.262]], "species": ["Zn", "Fe", "Cd", "Fe", "K"], "fractional_positions": [[0.500, 0.500, 0.500], [0.500, 0.000, 0.000], [0.000, 0.000, 0.000], [0.000, 0.000, 0.500], [0.000, 0.500, 0.000]], "magnetic_moment_mub_per_cell": 6.0, "dft_energy_ev_per_atom": -2.754, "ef_ev_per_atom": 1.288, "sg": "P4/mmm, No. 123"}